No. 1
The following is a DFT calculation (PBE) of a relaxed ErAl11Ni crystal.

Output
* E: -4.142 eV per atom
* D(E_F): 9.834 states/eV per cell
* energy relative to the elements: -0.180 eV per atom

Geometry as CIF:
```
data_ErAl11Ni
_space_group_name_H-M_alt 'C 1 2/m 1'
_space_group_IT_number 12
_space_group_name_Hall '-C 2y'
_cell_length_a 5.127
_cell_length_b 12.545
_cell_length_c 7.170
_cell_angle_alpha 90.00
_cell_angle_beta 108.21
_cell_angle_gamma 90.00
loop_
_atom_site_label
_atom_site_fract_x
_atom_site_fract_y
_atom_site_fract_z
Er1 0.000 0.000 0.000
Al1 0.000 0.000 0.500
Al2 0.106 0.393 0.228
Al3 0.181 0.174 0.358
Al4 0.250 0.250 0.000
Ni1 0.000 0.500 0.500
```

---

No. 2
The following is a DFT calculation (PBE) of a relaxed Li3BiSe crystal.

Output
* E: -2.653 eV per atom
* D(E_F): 6.748 states/eV per cell
* ΔE_f (raw): -0.032 eV per atom

Geometry as CIF:
```
data_Li3BiSe
_space_group_name_H-M_alt 'P m -3 m'
_space_group_IT_number 221
_space_group_name_Hall '-P 4 2 3'
_cell_length_a 5.177
_cell_length_b 5.177
_cell_length_c 5.177
_cell_angle_alpha 90.00
_cell_angle_beta 90.00
_cell_angle_gamma 90.00
loop_
_atom_site_label
_atom_site_fract_x
_atom_site_fract_y
_atom_site_fract_z
Li1 0.000 0.000 0.500
Bi1 0.000 0.000 0.000
Se1 0.500 0.500 0.500
```

---

No. 3
The following is a DFT calculation (PBE) of a relaxed LiAcNi2 crystal.

Output
* E: -4.324 eV per atom
* D(E_F): 1.150 states/eV per cell
* energy relative to the elements: 0.072 eV per atom

Geometry as CIF:
```
data_LiAcNi2
_space_group_name_H-M_alt 'P 4/m m m'
_space_group_IT_number 123
_space_group_name_Hall '-P 4 2'
_cell_length_a 3.555
_cell_length_b 3.555
_cell_length_c 5.913
_cell_angle_alpha 90.00
_cell_angle_beta 90.00
_cell_angle_gamma 90.00
loop_
_atom_site_label
_atom_site_fract_x
_atom_site_fract_y
_atom_site_fract_z
Li1 0.000 0.000 0.000
Ac1 0.000 0.000 0.500
Ni1 0.500 0.500 0.207
```

---

No. 4
The following is a DFT calculation (PBE) of a relaxed Ni2RuRhN crystal.

Output
* E: -7.076 eV per atom
* D(E_F): 6.619 states/eV per cell
* ΔE_f (raw): 0.227 eV per atom

Geometry as CIF:
```
data_Ni2RuRhN
_space_group_name_H-M_alt 'P 4/m m m'
_space_group_IT_number 123
_space_group_name_Hall '-P 4 2'
_cell_length_a 3.851
_cell_length_b 3.851
_cell_length_c 3.927
_cell_angle_alpha 90.00
_cell_angle_beta 90.00
_cell_angle_gamma 90.00
loop_
_atom_site_label
_atom_site_fract_x
_atom_site_fract_y
_atom_site_fract_z
Ni1 0.000 0.500 0.000
Ru1 0.000 0.000 0.500
Rh1 0.500 0.500 0.500
N1 0.000 0.000 0.000
```

---

No. 5
The following is a DFT calculation (PBE) of a relaxed RbYZr2 crystal.

Output
* E: -4.971 eV per atom
* D(E_F): 21.752 states/eV per cell
* energy relative to the elements: 1.161 eV per atom

Geometry as CIF:
```
data_RbYZr2
_space_group_name_H-M_alt 'I -4 2 d'
_space_group_IT_number 122
_space_group_name_Hall 'I -4 2bw'
_cell_length_a 4.471
_cell_length_b 4.471
_cell_length_c 23.767
_cell_angle_alpha 90.00
_cell_angle_beta 90.00
_cell_angle_gamma 90.00
loop_
_atom_site_label
_atom_site_fract_x
_atom_site_fract_y
_atom_site_fract_z
Rb1 0.000 0.000 0.000
Y1 0.000 0.000 0.500
Zr1 0.236 0.250 0.625
```

---

No. 6
The following is a DFT calculation (PBE) of a relaxed Zr2VMo crystal.

Output
* E: -8.634 eV per atom
* D(E_F): 18.905 states/eV per cell
* energy relative to the elements: 0.628 eV per atom

Geometry as CIF:
```
data_Zr2VMo
_space_group_name_H-M_alt 'I -4 2 d'
_space_group_IT_number 122
_space_group_name_Hall 'I -4 2bw'
_cell_length_a 7.347
_cell_length_b 7.347
_cell_length_c 5.725
_cell_angle_alpha 90.00
_cell_angle_beta 90.00
_cell_angle_gamma 90.00
loop_
_atom_site_label
_atom_site_fract_x
_atom_site_fract_y
_atom_site_fract_z
Zr1 0.248 0.250 0.125
V1 0.000 0.000 0.000
Mo1 0.000 0.000 0.500
```

---

No. 7
The following is a DFT calculation (PBE) of a relaxed Tl2AgS6 crystal.

Output
* E: -3.624 eV per atom
* D(E_F): 17.930 states/eV per cell
* ΔE_f (raw): -0.030 eV per atom

Geometry as CIF:
```
data_Tl2AgS6
_space_group_name_H-M_alt 'C 1 2/c 1'
_space_group_IT_number 15
_space_group_name_Hall '-C 2yc'
_cell_length_a 21.044
_cell_length_b 4.324
_cell_length_c 10.456
_cell_angle_alpha 90.00
_cell_angle_beta 103.17
_cell_angle_gamma 90.00
loop_
_atom_site_label
_atom_site_fract_x
_atom_site_fract_y
_atom_site_fract_z
Tl1 0.159 0.037 0.065
Ag1 0.000 0.472 0.250
S1 0.020 0.010 0.920
S2 0.120 0.463 0.729
S3 0.191 0.466 0.393
```

---

No. 8
The following is a DFT calculation (PBE) of a relaxed FeCo3 crystal.

Output
* E: -7.426 eV per atom
* D(E_F): 14.855 states/eV per cell
* energy relative to the elements: 0.020 eV per atom

Geometry as CIF:
```
data_FeCo3
_space_group_name_H-M_alt 'C 1 2/m 1'
_space_group_IT_number 12
_space_group_name_Hall '-C 2y'
_cell_length_a 9.016
_cell_length_b 2.795
_cell_length_c 8.033
_cell_angle_alpha 90.00
_cell_angle_beta 117.05
_cell_angle_gamma 90.00
loop_
_atom_site_label
_atom_site_fract_x
_atom_site_fract_y
_atom_site_fract_z
Fe1 0.126 0.000 0.187
Co1 0.122 0.500 0.937
Co2 0.124 0.500 0.432
Co3 0.128 0.000 0.686
```